# PBE-GGA NaCa2Hf, optimized geometry
data_NaCa2Hf
_chemical_formula_sum 'Na3 Ca6 Hf3'
_cell_length_a 3.3761
_cell_length_b 3.3761
_cell_length_c 38.8362
_cell_angle_alpha 90.00
_cell_angle_beta 90.00
_cell_angle_gamma 120.00
_space_group_name_H-M_alt 'R -3 m'
_space_group_IT_number 166
_space_group_name_Hall '-R 3 2"'
loop_
_atom_site_label
_atom_site_type_symbol
_atom_site_fract_x
_atom_site_fract_y
_atom_site_fract_z
Na1 Na 0.0000 0.0000 0.0000
Ca1 Ca 0.0000 0.0000 0.4171
Hf1 Hf 0.0000 0.0000 0.5000
# M_tot   0.0 μB/f.u.
# DOS(E_F)   1.31 states/eV/atom
# E   -39.30 eV/cell
# ΔE_f   0.544 eV per atom